Entry 1:
A relaxed structure of TbCe4Pm3Se8, computed with PBE.

Lattice parameters (Å, degrees): 8.3598 8.3598 20.6007 90.00 90.00 120.00
Space group R-3m (No. 166, hexagonal axes)
Symmetry-distinct sites (fractional):
Tb: 0.0000 0.0000 0.0000 (multiplicity 3)
Ce: 0.0000 0.0000 0.5000 (multiplicity 3)
Ce: 0.0000 0.5000 0.5000 (multiplicity 9)
Pm: 0.0000 0.5000 0.0000 (multiplicity 9)
Se: 0.0000 0.0000 0.2503 (multiplicity 6)
Se: 0.0043 0.5022 0.7486 (multiplicity 18)

Fermi-level density of states (states/eV/cell): 78.702
Uncorrected formation energy (eV/atom): -1.83
E_tot (eV/atom): -6.2326

---

Entry 2:
A relaxed structure of Cu2OsSe, computed with PBE.

Lattice parameters (Å, degrees): 3.346 3.346 5.096 90.00 90.00 90.00
Space group P4/mmm (No. 123)
Symmetry-distinct sites (fractional):
Cu: 0.000 0.000 0.244 (multiplicity 2)
Os: 0.500 0.500 0.000 (multiplicity 1)
Se: 0.500 0.500 0.500 (multiplicity 1)

Fermi-level density of states (states/eV/cell): 4.347
Uncorrected formation energy (eV/atom): 0.56
E_tot (eV/atom): -5.1684